Compound: AlAuSCl2
Source: the Alexandria database
Functional: PBE
Structure: relaxed

Properties
The calculated density comes out at 5.27 g/cm³. As for the raw formation energy: -0.2779 eV per atom. Its relative energy among the computed polymorphs is 0 meV/atom. The energy comes out at -3.2460 eV/atom. The space group is P4/mmm (123).

abc: 4.5390 4.5390 5.0000
angles: 90.00 90.00 90.00
Fractional positions:
1 Cl 0.5000 0.0000 0.0000
2 Al 0.0000 0.0000 0.0000
3 S 0.0000 0.0000 0.5000
4 Cl 0.0000 0.5000 0.0000
5 Au 0.5000 0.5000 0.5000


Compound: RhPb2Br
Source: the Alexandria database
Functional: PBE
Structure: relaxed

Properties
The calculated density comes out at 10.12 g/cm³. As for the raw formation energy: 0.2060 eV per atom. Its relative energy among the computed polymorphs is 380 meV/atom. The energy comes out at -3.9043 eV/atom. The space group is Fm-3m (225).

abc: 5.1753 5.1753 5.1753
angles: 60.00 60.00 60.00
Fractional positions:
1 Pb 0.2500 0.2500 0.2500
2 Br 0.0000 0.0000 0.0000
3 Pb 0.7500 0.7500 0.7500
4 Rh 0.5000 0.5000 0.5000